# 1
# Fe2AgOs

Crystalline Fe2AgOs at its relaxed geometry (GGA-PBE, the Alexandria database).

The structure belongs to space group R-3m (No. 166, hexagonal axes); the cell edges are 2.6904, 2.6904 and 26.7173 Å and the angles 90.00°, 90.00° and 120.00°. The distinct sites, in fractional coordinates, are Fe at (0.0000, 0.0000, 0.2457), Ag at (0.0000, 0.0000, 0.0000) and Os at (0.0000, 0.0000, 0.5000).

# 2
# FeAg3Os

Crystalline FeAg3Os at its relaxed geometry (GGA-PBE, the Alexandria database).

The structure belongs to space group Pm-3m (No. 221); the cell edges are 4.6872, 4.6872 and 4.6872 Å and the angles 90.00°, 90.00° and 90.00°. The distinct sites, in fractional coordinates, are Fe at (0.0000, 0.0000, 0.0000), Ag at (0.0000, 0.0000, 0.5000) and Os at (0.5000, 0.5000, 0.5000).

As for the energy above the most stable polymorph in this dataset: 0 meV per atom.

# 3
# Fe2AgOs2

Crystalline Fe2AgOs2 at its relaxed geometry (GGA-PBE, the Alexandria database).

The structure belongs to space group P4/mbm (No. 127); the cell edges are 7.3340, 7.3340 and 2.6259 Å and the angles 90.00°, 90.00° and 90.00°. The distinct sites, in fractional coordinates, are Fe at (0.1646, 0.3354, 0.0000), Ag at (0.0000, 0.0000, 0.5000) and Os at (0.1260, 0.6260, 0.5000).

As for the energy above the most stable polymorph in this dataset: 11 meV per atom.

# 4
# Fe2AgOs

Crystalline Fe2AgOs at its relaxed geometry (GGA-PBE, the Alexandria database).

The structure belongs to space group P4mm (No. 99); the cell edges are 2.7037, 2.7037 and 7.6175 Å and the angles 90.00°, 90.00° and 90.00°. The distinct sites, in fractional coordinates, are Fe at (0.0000, 0.0000, 0.0000), Fe at (0.5000, 0.5000, 0.2226), Ag at (0.5000, 0.5000, 0.7282) and Os at (0.0000, 0.0000, 0.4325).

# 5
# Fe2AgOs

Crystalline Fe2AgOs at its relaxed geometry (GGA-PBE, the Alexandria database).

The structure belongs to space group C2/m (No. 12); the cell edges are 8.8052, 2.6389 and 4.9129 Å and the angles 90.00°, 98.43° and 90.00°. The distinct sites, in fractional coordinates, are Fe at (0.2454, 0.0000, 0.2337), Ag at (0.0000, 0.0000, 0.5000) and Os at (0.0000, 0.5000, 0.0000).

# 6
# Fe2AgOs

Crystalline Fe2AgOs at its relaxed geometry (GGA-PBE, the Alexandria database).

The structure belongs to space group I-4m2 (No. 119); the cell edges are 3.7875, 3.7875 and 7.6333 Å and the angles 90.00°, 90.00° and 90.00°. The distinct sites, in fractional coordinates, are Fe at (0.0000, 0.0000, 0.0000), Fe at (0.0000, 0.5000, 0.2500), Ag at (0.0000, 0.0000, 0.5000) and Os at (0.0000, 0.5000, 0.7500).

# 7
# FeAg4Os

Crystalline FeAg4Os at its relaxed geometry (GGA-PBE, the Alexandria database).

The structure belongs to space group F-43m (No. 216); the cell edges are 7.4640, 7.4640 and 7.4640 Å and the angles 90.00°, 90.00° and 90.00°. The distinct sites, in fractional coordinates, are Fe at (0.0000, 0.0000, 0.0000), Ag at (0.1250, 0.1250, 0.3750) and Os at (0.2500, 0.2500, 0.7500).

# 8
# Fe2AgOs

Crystalline Fe2AgOs at its relaxed geometry (GGA-PBE, the Alexandria database).

The structure belongs to space group Pmmm (No. 47); the cell edges are 2.6907, 3.7264 and 5.5778 Å and the angles 90.00°, 90.00° and 90.00°. The distinct sites, in fractional coordinates, are Fe at (0.0000, 0.0000, 0.2155), Ag at (0.5000, 0.5000, 0.5000) and Os at (0.5000, 0.5000, 0.0000).

# 9
# FeAgOs3

Crystalline FeAgOs3 at its relaxed geometry (GGA-PBE, the Alexandria database).

The structure belongs to space group Pm-3m (No. 221); the cell edges are 4.4253, 4.4253 and 4.4253 Å and the angles 90.00°, 90.00° and 90.00°. The distinct sites, in fractional coordinates, are Fe at (0.0000, 0.0000, 0.0000), Ag at (0.5000, 0.5000, 0.5000) and Os at (0.0000, 0.0000, 0.5000).

As for the energy above the most stable polymorph in this dataset: 0 meV per atom.

# 10
# Fe3AgOs

Crystalline Fe3AgOs at its relaxed geometry (GGA-PBE, the Alexandria database).

The structure belongs to space group Pm-3m (No. 221); the cell edges are 4.5356, 4.5356 and 4.5356 Å and the angles 90.00°, 90.00° and 90.00°. The distinct sites, in fractional coordinates, are Fe at (0.0000, 0.0000, 0.5000), Ag at (0.5000, 0.5000, 0.5000) and Os at (0.0000, 0.0000, 0.0000).

As for the energy above the most stable polymorph in this dataset: 0 meV per atom.

# 11
# Fe2AgOs

Crystalline Fe2AgOs at its relaxed geometry (GGA-PBE, the Alexandria database).

The structure belongs to space group Imm2 (No. 44); the cell edges are 2.7857, 4.4582 and 8.9925 Å and the angles 90.00°, 90.00° and 90.00°. The distinct sites, in fractional coordinates, are Fe at (0.0000, 0.0000, 0.0000), Fe at (0.0000, 0.5000, 0.2782), Ag at (0.0000, 0.0000, 0.5178) and Os at (0.0000, 0.5000, 0.7395).

# 12
# Fe2AgOs

Crystalline Fe2AgOs at its relaxed geometry (GGA-PBE, the Alexandria database).

The structure belongs to space group Pm (No. 6); the cell edges are 2.6640, 4.0810 and 5.2270 Å and the angles 90.00°, 104.69° and 90.00°. The distinct sites, in fractional coordinates, are Fe at (0.0000, 0.0000, 0.0000), Fe at (0.1341, 0.5000, 0.2591), Ag at (0.3864, 0.5000, 0.7701) and Os at (0.7222, 0.0000, 0.4408).

| no. | E_form (eV per atom) |
| --- | --- |
| 1 | 0.32 |
| 2 | 1.82 |
| 3 | 0.42 |
| 4 | 0.36 |
| 5 | 0.50 |
| 6 | 0.57 |
| 7 | 0.94 |
| 8 | 0.37 |
| 9 | 1.81 |
| 10 | 1.42 |
| 11 | 0.45 |
| 12 | 0.44 |